Record 1
Compound: Ta2TcRh
Source: Alexandria
Functional: PBE
Structure: optimized geometry

Values from the calculation:
Uncorrected energy: -41.784 eV for the cell shown
N(E_F): 4.12 states/eV per cell

Lattice parameters (Å, degrees): 2.7753 2.7753 8.5897 90.00 90.00 99.38
With the nearest neighbours (Å) after each atom.
Positions (direct):
1 Tc 0.0000 0.0000 0.5185  4 Rh 2.60-2.83, 4 Tc 2.78, 2 Ta 2.86
2 Ta 0.5000 0.5000 0.2592  6 Ta 2.78-2.96, 4 Tc 2.86-3.07
3 Ta 0.0000 0.0000 0.9856  6 Ta 2.78-2.96, 4 Rh 2.79-3.01
4 Rh 0.5000 0.5000 0.7367  4 Tc 2.60-2.83, 4 Rh 2.78, 2 Ta 2.79

Record 2
Compound: Ta3Tc2Rh
Source: Alexandria
Functional: PBE
Structure: optimized geometry

Values from the calculation:
Uncorrected energy: -66.192 eV for the cell shown
N(E_F): 4.70 states/eV per cell

Lattice parameters (Å, degrees): 3.2050 3.2050 9.4862 90.00 90.00 90.00
With the nearest neighbours (Å) after each atom.
Positions (direct):
1 Tc 0.5000 0.5000 0.8313  8 Ta 2.73-2.77
2 Tc 0.5000 0.5000 0.1687  8 Ta 2.73-2.77
3 Ta 0.0000 0.0000 0.0000  8 Tc 2.77
4 Ta 0.0000 0.0000 0.3300  4 Tc 2.73, 4 Rh 2.78
5 Ta 0.0000 0.0000 0.6700  4 Tc 2.73, 4 Rh 2.78
6 Rh 0.5000 0.5000 0.5000  8 Ta 2.78

Record 3
Compound: TaTcRh
Source: Alexandria
Functional: PBE
Structure: optimized geometry

Values from the calculation:
Uncorrected energy: -29.928 eV for the cell shown
N(E_F): 3.54 states/eV per cell

Lattice parameters (Å, degrees): 5.1873 5.1873 5.1873 144.05 144.05 51.75
With the nearest neighbours (Å) after each atom.
Positions (direct):
1 Ta 0.3295 0.3295 0.0000  4 Tc 2.67, 4 Rh 2.72
2 Tc 0.6786 0.6786 0.0000  4 Ta 2.67, 5 Rh 2.86-2.92
3 Rh 0.9919 0.9919 0.0000  4 Ta 2.72, 5 Tc 2.86-2.92

Record 4
Compound: TaTc4Rh
Source: Alexandria
Functional: PBE
Structure: optimized geometry

Values from the calculation:
Uncorrected energy: -60.370 eV for the cell shown
N(E_F): 3.04 states/eV per cell

Lattice parameters (Å, degrees): 5.1019 5.1019 5.1019 60.00 60.00 60.00
With the nearest neighbours (Å) after each atom.
Positions (direct):
1 Rh 0.7500 0.7500 0.7500  12 Tc 2.99, 4 Ta 3.12
2 Tc 0.3762 0.3762 0.8715  6 Tc 2.53-2.58
3 Tc 0.3762 0.8715 0.3762  6 Tc 2.53-2.58
4 Tc 0.8715 0.3762 0.3762  6 Tc 2.53-2.58
5 Tc 0.3762 0.3762 0.3762  6 Tc 2.53-2.58
6 Ta 0.0000 0.0000 0.0000  12 Tc 2.99, 4 Rh 3.12

Record 5
Compound: TaTcRh
Source: Alexandria
Functional: PBE
Structure: optimized geometry

Values from the calculation:
Uncorrected energy: -28.116 eV for the cell shown
N(E_F): 5.35 states/eV per cell

Lattice parameters (Å, degrees): 4.2731 4.2731 4.2731 60.00 60.00 60.00
With the nearest neighbours (Å) after each atom.
Positions (direct):
1 Rh 0.0000 0.0000 0.0000  4 Tc 2.62
2 Tc 0.7500 0.7500 0.7500  4 Ta 2.62, 4 Rh 2.62
3 Ta 0.5000 0.5000 0.5000  4 Tc 2.62

Record 6
Compound: TaTcRh
Source: Alexandria
Functional: PBE
Structure: optimized geometry

Values from the calculation:
Uncorrected energy: -28.516 eV for the cell shown
N(E_F): 4.73 states/eV per cell

Lattice parameters (Å, degrees): 4.2634 4.2634 4.2634 60.00 60.00 60.00
With the nearest neighbours (Å) after each atom.
Positions (direct):
1 Rh 0.5000 0.5000 0.5000  4 Ta 2.61
2 Ta 0.7500 0.7500 0.7500  4 Tc 2.61, 4 Rh 2.61
3 Tc 0.0000 0.0000 0.0000  4 Ta 2.61

Record 7
Compound: Ta2TcRh
Source: Alexandria
Functional: PBE
Structure: optimized geometry

Values from the calculation:
Uncorrected energy: -42.284 eV for the cell shown
N(E_F): 3.51 states/eV per cell

Lattice parameters (Å, degrees): 5.0570 5.0570 5.0570 140.95 125.46 69.10
With the nearest neighbours (Å) after each atom.
Positions (direct):
1 Ta 0.0035 0.0035 0.0000  2 Tc 2.66, 2 Rh 2.71, 4 Ta 2.87
2 Ta 0.4965 0.4965 0.0000  2 Tc 2.66, 2 Rh 2.71, 4 Ta 2.87
3 Tc 0.2500 0.7500 0.5000  4 Ta 2.66, 4 Rh 2.87
4 Rh 0.7500 0.2500 0.5000  4 Ta 2.71, 4 Tc 2.87

Record 8
Compound: TaTc2Rh
Source: Alexandria
Functional: PBE
Structure: optimized geometry

Values from the calculation:
Uncorrected energy: -40.326 eV for the cell shown
N(E_F): 4.06 states/eV per cell

Lattice parameters (Å, degrees): 4.2786 2.7531 5.4329 74.87 90.00 90.00
With the nearest neighbours (Å) after each atom.
Positions (direct):
1 Tc 0.0000 0.9109 0.0114  2 Rh 2.62-2.88, 2 Ta 2.67, 6 Tc 2.72-2.88
2 Tc 0.5000 0.2401 0.2326  2 Ta 2.65-2.76, 6 Tc 2.72-2.88, 4 Rh 2.92-2.94
3 Rh 0.0000 0.5919 0.5098  2 Ta 2.60, 2 Tc 2.62-2.88, 2 Rh 2.75
4 Ta 0.5000 0.7571 0.7461  2 Rh 2.60, 4 Tc 2.65-2.76, 2 Ta 2.75

Record 9
Compound: Ta2TcRh
Source: Alexandria
Functional: PBE
Structure: optimized geometry

Values from the calculation:
Uncorrected energy: -41.711 eV for the cell shown
N(E_F): 4.82 states/eV per cell

Lattice parameters (Å, degrees): 8.7223 8.7223 8.7223 19.77 19.77 19.77
With the nearest neighbours (Å) after each atom.
Positions (direct):
1 Ta 0.9997 0.9997 0.9997  3 Tc 2.74, 3 Rh 2.76, 6 Ta 3.00
2 Ta 0.5003 0.5003 0.5003  3 Tc 2.74, 3 Rh 2.76, 6 Ta 3.00
3 Rh 0.7500 0.7500 0.7500  6 Ta 2.76, 6 Rh 3.00
4 Tc 0.2500 0.2500 0.2500  6 Ta 2.74, 6 Tc 3.00

Record 10
Compound: TaTc2Rh
Source: Alexandria
Functional: PBE
Structure: optimized geometry

Values from the calculation:
Uncorrected energy: -40.219 eV for the cell shown
N(E_F): 4.03 states/eV per cell

Lattice parameters (Å, degrees): 4.8296 4.8296 2.7955 90.00 90.00 109.95
With the nearest neighbours (Å) after each atom.
Positions (direct):
1 Tc 0.0000 0.0000 0.0000  4 Tc 2.77-2.80, 4 Ta 2.79, 4 Rh 2.79
2 Tc 0.5000 0.5000 0.0000  4 Tc 2.77-2.80, 4 Rh 2.79, 4 Ta 2.79
3 Ta 0.0000 0.5000 0.5000  2 Rh 2.77, 8 Tc 2.79, 2 Ta 2.80
4 Rh 0.5000 0.0000 0.5000  2 Ta 2.77, 8 Tc 2.79, 2 Rh 2.80

Record 11
Compound: TaTc2Rh
Source: Alexandria
Functional: PBE
Structure: optimized geometry

Values from the calculation:
Uncorrected energy: -40.410 eV for the cell shown
N(E_F): 4.08 states/eV per cell

Lattice parameters (Å, degrees): 4.8914 4.8914 4.8914 133.09 133.09 68.51
With the nearest neighbours (Å) after each atom.
Positions (direct):
1 Tc 0.5000 0.5000 0.0000  4 Tc 2.75, 4 Rh 2.81, 4 Ta 2.81
2 Tc 0.0000 0.0000 0.0000  4 Tc 2.75, 4 Ta 2.81, 4 Rh 2.81
3 Rh 0.2500 0.7500 0.5000  4 Ta 2.75, 8 Tc 2.81
4 Ta 0.7500 0.2500 0.5000  4 Rh 2.75, 8 Tc 2.81

Record 12
Compound: TaTcRh3
Source: Alexandria
Functional: PBE
Structure: optimized geometry

Values from the calculation:
Uncorrected energy: -37.323 eV for the cell shown
N(E_F): 9.43 states/eV per cell

Lattice parameters (Å, degrees): 4.5968 4.5968 4.5968 90.00 90.00 90.00
With the nearest neighbours (Å) after each atom.
Positions (direct):
1 Rh 0.0000 0.5000 0.0000  2 Tc 2.30
2 Rh 0.5000 0.0000 0.0000  2 Tc 2.30
3 Rh 0.0000 0.0000 0.5000  2 Tc 2.30
4 Ta 0.5000 0.5000 0.5000  12 Rh 3.25
5 Tc 0.0000 0.0000 0.0000  6 Rh 2.30

Record 13
Compound: TaTc2Rh
Source: Alexandria
Functional: PBE
Structure: optimized geometry

Values from the calculation:
Uncorrected energy: -39.570 eV for the cell shown
N(E_F): 5.23 states/eV per cell

Lattice parameters (Å, degrees): 9.4479 9.4479 9.4479 16.86 16.86 16.86
With the nearest neighbours (Å) after each atom.
Positions (direct):
1 Tc 0.9956 0.9956 0.9956  3 Rh 2.72, 6 Tc 2.77, 3 Ta 2.93
2 Tc 0.5044 0.5044 0.5044  3 Rh 2.72, 6 Tc 2.77, 3 Ta 2.93
3 Ta 0.7500 0.7500 0.7500  6 Ta 2.77, 6 Tc 2.93
4 Rh 0.2500 0.2500 0.2500  6 Tc 2.72, 6 Rh 2.77

Record 14
Compound: TaTcRh
Source: Alexandria
Functional: PBE
Structure: optimized geometry

Values from the calculation:
Uncorrected energy: -29.602 eV for the cell shown
N(E_F): 4.13 states/eV per cell

Lattice parameters (Å, degrees): 2.7978 2.7978 6.9432 90.00 90.00 120.00
With the nearest neighbours (Å) after each atom.
Positions (direct):
1 Rh 0.0000 0.0000 0.9961  3 Tc 2.74, 6 Rh 2.80, 3 Ta 2.81
2 Tc 0.3333 0.6667 0.6767  3 Rh 2.74, 6 Tc 2.80, 3 Ta 2.92
3 Ta 0.6667 0.3333 0.3272  6 Ta 2.80, 3 Rh 2.81, 3 Tc 2.92

Record 15
Compound: Ta2TcRh
Source: Alexandria
Functional: PBE
Structure: optimized geometry

Values from the calculation:
Uncorrected energy: -42.298 eV for the cell shown
N(E_F): 3.77 states/eV per cell

Lattice parameters (Å, degrees): 3.2277 3.2277 6.3144 90.00 90.00 90.00
With the nearest neighbours (Å) after each atom.
Positions (direct):
1 Tc 0.0000 0.0000 0.4827  4 Ta 2.66, 4 Rh 2.90
2 Rh 0.5000 0.5000 0.7666  4 Ta 2.67, 4 Tc 2.90
3 Ta 0.5000 0.5000 0.2661  4 Tc 2.66, 4 Ta 2.89
4 Ta 0.0000 0.0000 0.9846  4 Rh 2.67, 4 Ta 2.89